This record from Alexandria describes an optimized crystal structure of Mg2MnNiO. The functional is GGA+U.

Results
- Electronic total energy: -0.1424 Ha/atom

Unit cell a=4.0950 b=4.0950 c=4.3621 alpha=90.00 beta=90.00 gamma=90.00
Last column: nearest neighbours and their distance in Å.
Space group P4/mmm (No. 123)
One atom of each set of equivalent atoms:
Mg1 0.0000 0.5000 0.0000 (multiplicity 2)  2 O 2.05
Mn1 0.0000 0.0000 0.5000 (multiplicity 1)  4 Ni 2.90, 8 Mg 2.99
Ni1 0.5000 0.5000 0.5000 (multiplicity 1)  2 O 2.18
O1 0.5000 0.5000 0.0000 (multiplicity 1)  4 Mg 2.05, 2 Ni 2.18